# 1
# NaMnH3

An optimized crystal structure of NaMnH3 (PBE, Alexandria via LeMat-Bulk).

Cell lengths 14.480, 5.892, 5.892 Å; angles 149.43, 152.91, 27.09 degrees
Sites, in units of the cell vectors:
Mn 0.882 0.924 0.076
H 0.618 0.183 0.817
H 0.979 0.377 0.623
H 0.382 0.817 0.183
Mn 0.118 0.076 0.924
H 0.021 0.623 0.377
H 0.272 0.777 0.223
Na 0.348 0.054 0.946
Na 0.652 0.946 0.054
H 0.728 0.223 0.777

**Magnetic moment**: 1.0 μB/cell
**Symmetry**: C2/m, No. 12

=====

# 2
# NaMnH3

An optimized crystal structure of NaMnH3 (PBE, Alexandria via LeMat-Bulk).

Cell lengths 3.531, 5.215, 5.619 Å; angles 90.00, 108.37, 90.00 degrees
Sites, in units of the cell vectors:
H 0.525 0.750 0.548
Mn 0.985 0.250 0.472
Na 0.299 0.750 0.099
H 0.475 0.250 0.452
Mn 0.015 0.750 0.528
Na 0.701 0.250 0.901
H 0.111 0.480 0.722
H 0.889 0.520 0.278
H 0.111 0.020 0.722
H 0.889 0.980 0.278

**Magnetic moment**: 5.6 μB/cell
**Symmetry**: Cmcm, No. 63

=====

# 3
# NaMnH4

An optimized crystal structure of NaMnH4 (PBE, Alexandria via LeMat-Bulk).

Cell lengths 4.508, 5.758, 5.425 Å; angles 112.00, 102.49, 112.05 degrees
Sites, in units of the cell vectors:
H 0.596 0.051 0.269
H 0.956 0.834 0.117
H 0.404 0.949 0.731
Mn 0.738 0.988 0.977
H 0.827 0.782 0.731
H 0.173 0.218 0.269
Na 0.601 0.351 0.701
H 0.044 0.166 0.883
Na 0.399 0.649 0.299
Mn 0.262 0.012 0.023
H 0.661 0.284 0.117
H 0.339 0.716 0.883

**Magnetic moment**: 0.0 μB/cell
**Symmetry**: C2/c, No. 15

=====

# 4
# Na3MnH

An optimized crystal structure of Na3MnH (PBE, Alexandria via LeMat-Bulk).

Cell lengths 4.828, 4.828, 4.828 Å; angles 90.00, 90.00, 90.00 degrees
Sites, in units of the cell vectors:
Na 0.500 0.000 0.000
Mn 0.500 0.500 0.500
Na 0.000 0.500 0.000
Na 0.000 0.000 0.500
H 0.000 0.000 0.000

**Magnetic moment**: 3.9 μB/cell
**E above lowest polymorph**: 0 meV per atom
**Symmetry**: Pm-3m, No. 221

=====

# 5
# Na3Mn5H12

An optimized crystal structure of Na3Mn5H12 (PBE, Alexandria via LeMat-Bulk).

Cell lengths 9.816, 9.816, 9.816 Å; angles 109.47, 109.47, 109.47 degrees
Sites, in units of the cell vectors:
H 0.928 0.837 0.815
H 0.091 0.163 0.478
H 0.185 0.663 0.072
Na 0.875 0.125 0.250
H 0.113 0.428 0.091
Mn 0.000 0.000 0.500
Mn 0.250 0.375 0.625
H 0.591 0.613 0.428
Mn 0.500 0.500 0.500
Na 0.375 0.750 0.625
H 0.909 0.072 0.887
Na 0.250 0.625 0.875
Na 0.750 0.375 0.125
H 0.663 0.478 0.591
H 0.428 0.315 0.337
H 0.072 0.909 0.387
H 0.978 0.591 0.163
H 0.685 0.572 0.163
H 0.685 0.113 0.022
Mn 0.625 0.750 0.875
H 0.613 0.022 0.185
Mn 0.500 0.000 0.500
Mn 0.500 0.000 0.000
Na 0.625 0.250 0.375
H 0.572 0.887 0.409
H 0.315 0.428 0.837
Na 0.125 0.875 0.750
Mn 0.625 0.875 0.250
H 0.663 0.185 0.572
H 0.522 0.337 0.909
Na 0.625 0.375 0.750
Mn 0.000 0.500 0.500
H 0.613 0.591 0.928
Na 0.375 0.625 0.250
H 0.837 0.928 0.315
H 0.315 0.887 0.978
Na 0.125 0.250 0.875
H 0.163 0.091 0.978
H 0.387 0.409 0.072
H 0.022 0.613 0.685
H 0.185 0.522 0.613
H 0.887 0.315 0.478
H 0.522 0.185 0.113
H 0.909 0.837 0.522
H 0.163 0.072 0.685
H 0.387 0.978 0.815
Mn 0.875 0.625 0.750
Mn 0.500 0.500 0.000
Mn 0.000 0.500 0.000
Mn 0.750 0.125 0.875
H 0.022 0.409 0.837
Mn 0.750 0.625 0.375
H 0.928 0.091 0.613
Mn 0.875 0.250 0.625
H 0.887 0.572 0.909
H 0.591 0.978 0.663
Mn 0.125 0.375 0.250
Mn 0.375 0.125 0.750
Na 0.250 0.125 0.375
H 0.815 0.337 0.928
H 0.409 0.387 0.572
Na 0.750 0.875 0.625
H 0.091 0.928 0.113
H 0.978 0.387 0.315
H 0.572 0.685 0.663
H 0.337 0.815 0.428
H 0.072 0.163 0.185
H 0.837 0.909 0.022
H 0.337 0.522 0.409
H 0.478 0.663 0.091
H 0.815 0.478 0.387
H 0.428 0.113 0.591
Na 0.875 0.750 0.125
H 0.113 0.685 0.522
Mn 0.375 0.250 0.125
H 0.409 0.022 0.337
Mn 0.000 0.000 0.000
Mn 0.125 0.750 0.375
H 0.478 0.815 0.887
Mn 0.250 0.875 0.125

**Magnetic moment**: 64.0 μB/cell
**Symmetry**: Ia-3d, No. 230

=====

# 6
# Na2Mn2H7

An optimized crystal structure of Na2Mn2H7 (PBE, Alexandria via LeMat-Bulk).

Cell lengths 5.103, 4.275, 4.275 Å; angles 98.15, 90.00, 90.00 degrees
Sites, in units of the cell vectors:
H 0.797 0.500 0.000
H 0.180 0.500 0.500
H 0.203 0.500 0.000
Mn 0.000 0.276 0.724
Mn 0.000 0.724 0.276
Na 0.500 0.760 0.760
H 0.203 0.000 0.500
Na 0.500 0.240 0.240
H 0.820 0.500 0.500
H 0.000 0.000 0.000
H 0.797 0.000 0.500

**Magnetic moment**: 4.9 μB/cell
**Symmetry**: Cmmm, No. 65

=====

# 7
# NaMnH3

An optimized crystal structure of NaMnH3 (PBE, Alexandria via LeMat-Bulk).

Cell lengths 10.847, 6.522, 6.522 Å; angles 95.74, 132.22, 47.78 degrees
Sites, in units of the cell vectors:
H 0.689 0.774 0.931
H 0.566 0.629 0.548
H 0.811 0.431 0.274
Na 0.734 0.069 0.170
Mn 0.250 0.825 0.325
H 0.030 0.265 0.118
Mn 0.750 0.460 0.960
Na 0.266 0.931 0.830
Na 0.766 0.670 0.569
H 0.970 0.735 0.882
H 0.530 0.382 0.235
H 0.470 0.618 0.765
H 0.066 0.952 0.871
H 0.934 0.048 0.129
H 0.311 0.226 0.069
Mn 0.250 0.540 0.040
Na 0.234 0.330 0.431
Mn 0.750 0.175 0.675
H 0.434 0.371 0.452
H 0.189 0.569 0.726

**Magnetic moment**: 8.0 μB/cell
**Symmetry**: C2/c, No. 15

=====

# 8
# NaMnH3

An optimized crystal structure of NaMnH3 (PBE, Alexandria via LeMat-Bulk).

Cell lengths 6.139, 3.457, 5.834 Å; angles 76.26, 60.50, 96.41 degrees
Sites, in units of the cell vectors:
H 0.181 0.833 0.565
Na 0.104 0.050 0.176
Mn 0.691 0.925 0.801
H 0.402 0.642 0.036
Mn 0.892 0.550 0.800
H 0.664 0.109 0.058
H 0.635 0.876 0.568
Na 0.480 0.425 0.424
H 0.919 0.366 0.543
H 0.949 0.599 0.033

**Magnetic moment**: 0.0 μB/cell
**Symmetry**: P-1, No. 2

=====

no.,E (eV per atom)
1,-4.060
2,-4.106
3,-3.989
4,-2.844
5,-4.437
6,-4.032
7,-4.179
8,-4.109